Entry 1:
Below is SrTl2Cd after structural relaxation, with properties calculated at the PBE level.

Unit cell a=3.8395 b=4.0993 c=7.6443 alpha=90.00 beta=90.00 gamma=90.00
Closest atoms and distances in Å follow each position.
Fractional coordinates of all 4 atoms:
Sr 0.0000 0.0000 0.0000  8 Tl 3.56, 2 Cd 3.82, 2 Sr 3.84
Tl 0.5000 0.5000 0.2852  4 Cd 3.25, 1 Tl 3.28, 4 Sr 3.56
Tl 0.5000 0.5000 0.7148  4 Cd 3.25, 1 Tl 3.28, 4 Sr 3.56
Cd 0.0000 0.0000 0.5000  8 Tl 3.25

Properties
space-group type = Pmmm (47)
energy relative to the elements = -0.188 eV per atom



Entry 2:
Below is CoNiC2 after structural relaxation, with properties calculated at the PBE level.

Unit cell a=3.5557 b=3.5557 c=3.5557 alpha=60.00 beta=60.00 gamma=60.00
Closest atoms and distances in Å follow each position.
Fractional coordinates of all 4 atoms:
Co 0.0000 0.0000 0.0000  8 C 2.18
Ni 0.5000 0.5000 0.5000  8 C 2.18
C 0.2500 0.2500 0.2500  4 Ni 2.18, 4 Co 2.18
C 0.7500 0.7500 0.7500  4 Ni 2.18, 4 Co 2.18

Properties
space-group type = Fm-3m (225)
energy relative to the elements = 1.378 eV per atom
energy above the most stable polymorph in this dataset = 0.620 eV/atom



Entry 3:
Below is Ba3YPt2O6 after structural relaxation, with properties calculated at the PBE level.

Unit cell a=6.0039 b=6.0039 c=6.9838 alpha=90.00 beta=90.00 gamma=120.00
Closest atoms and distances in Å follow each position.
Fractional coordinates of all 12 atoms:
Ba 0.0000 0.0000 0.0000  6 O 2.79
Ba 0.3333 0.6667 0.6520  9 O 2.93-3.01
Ba 0.6667 0.3333 0.3480  9 O 2.93-3.01
Y 0.0000 0.0000 0.5000  6 O 2.21
Pt 0.3333 0.6667 0.1381  3 O 2.08
Pt 0.6667 0.3333 0.8619  3 O 2.08
O 0.1700 0.3401 0.3093  1 Pt 2.08, 1 Y 2.21
O 0.1700 0.8300 0.3093  1 Pt 2.08, 1 Y 2.21
O 0.3401 0.1700 0.6907  1 Pt 2.08, 1 Y 2.21
O 0.6599 0.8300 0.3093  1 Pt 2.08, 1 Y 2.21
O 0.8300 0.1700 0.6907  1 Pt 2.08, 1 Y 2.21
O 0.8300 0.6599 0.6907  1 Pt 2.08, 1 Y 2.21

Properties
space-group type = P-3m1 (164)
E = -74.98 eV/f.u.



Entry 4:
Below is Ti2MnBiP after structural relaxation, with properties calculated at the PBE level.

Unit cell a=4.6681 b=4.6681 c=4.3733 alpha=90.00 beta=90.00 gamma=90.00
Closest atoms and distances in Å follow each position.
Fractional coordinates of all 5 atoms:
Ti 0.0000 0.5000 0.0000  2 P 2.33
Ti 0.5000 0.0000 0.0000  2 P 2.33
Mn 0.0000 0.0000 0.5000  2 P 2.19
Bi 0.5000 0.5000 0.5000  8 Ti 3.20, 4 Mn 3.30
P 0.0000 0.0000 0.0000  2 Mn 2.19, 4 Ti 2.33

Properties
space-group type = P4/mmm (123)
energy relative to the elements = -0.171 eV per atom



Entry 5:
Below is Ac6PbSe2S3 after structural relaxation, with properties calculated at the PBE level.

Unit cell a=9.9948 b=9.9948 c=8.9464 alpha=103.18 beta=103.18 gamma=25.79
Closest atoms and distances in Å follow each position.
Fractional coordinates of all 12 atoms:
Ac 0.0013 0.0013 0.2329  3 S 3.05-3.10, 1 Se 3.26, 2 Pb 3.27
Ac 0.3275 0.3275 0.4268  3 S 3.08-3.12, 2 Se 3.25, 1 Pb 3.27
Ac 0.3379 0.3379 0.9101  3 S 3.06-3.07, 3 Se 3.17-3.21
Ac 0.6621 0.6621 0.0899  3 S 3.06-3.07, 3 Se 3.17-3.21
Ac 0.6725 0.6725 0.5732  3 S 3.08-3.12, 2 Se 3.25, 1 Pb 3.27
Ac 0.9987 0.9987 0.7671  3 S 3.05-3.10, 1 Se 3.26, 2 Pb 3.27
Pb 0.5000 0.5000 0.5000  6 Ac 3.27
Se 0.1704 0.1704 0.8366  6 Ac 3.17-3.26
Se 0.8296 0.8296 0.1634  6 Ac 3.17-3.26
S 0.1649 0.1649 0.3259  6 Ac 3.06-3.12
S 0.5000 0.5000 0.0000  6 Ac 3.05-3.07
S 0.8351 0.8351 0.6741  6 Ac 3.06-3.12

Properties
space-group type = C2/m (12)
E = -68.03 eV/f.u.



Entry 6:
Below is NaGaPI2 after structural relaxation, with properties calculated at the PBE level.

Unit cell a=5.9902 b=5.9902 c=4.7030 alpha=90.00 beta=90.00 gamma=90.00
Closest atoms and distances in Å follow each position.
Fractional coordinates of all 5 atoms:
Na 0.0000 0.0000 0.0000  8 I 3.81, 4 P 4.24
Ga 0.5000 0.5000 0.5000  2 P 2.35
P 0.5000 0.5000 0.0000  2 Ga 2.35
I 0.0000 0.5000 0.5000  2 Ga 3.00
I 0.5000 0.0000 0.5000  2 Ga 3.00

Properties
space-group type = P4/mmm (123)
E = -13.47 eV/f.u.



Entry 7:
Below is LiNpSb after structural relaxation, with properties calculated at the PBE level.

Unit cell a=4.0331 b=4.0331 c=8.2337 alpha=90.00 beta=90.00 gamma=90.00
Closest atoms and distances in Å follow each position.
Fractional coordinates of all 6 atoms:
Li 0.2500 0.2500 0.1413  5 Sb 2.86-2.90
Li 0.7500 0.7500 0.8587  5 Sb 2.86-2.90
Np 0.2500 0.7500 0.5000  4 Np 2.85, 4 Sb 3.15
Np 0.7500 0.2500 0.5000  4 Np 2.85, 4 Sb 3.15
Sb 0.2500 0.2500 0.7937  5 Li 2.86-2.90, 4 Np 3.15
Sb 0.7500 0.7500 0.2063  5 Li 2.86-2.90, 4 Np 3.15

Properties
space-group type = P4/nmm (129)
energy above the most stable polymorph in this dataset = 0.000 eV/atom



Entry 8:
Below is Be2AgMo after structural relaxation, with properties calculated at the PBE level.

Unit cell a=3.7960 b=4.8541 c=4.8541 alpha=33.70 beta=90.00 gamma=90.00
Closest atoms and distances in Å follow each position.
Fractional coordinates of all 4 atoms:
Be 0.0000 0.0000 0.0000  2 Be 2.31, 4 Ag 2.48, 3 Mo 2.52-2.56
Be 0.5000 0.1412 0.1412  2 Be 2.31, 4 Mo 2.49, 3 Ag 2.50-2.58
Ag 0.5000 0.4185 0.4185  7 Be 2.48-2.58
Mo 0.0000 0.7249 0.7249  7 Be 2.49-2.56

Properties
space-group type = Amm2 (38)
energy relative to the elements = 0.203 eV per atom
energy above the most stable polymorph in this dataset = 0.078 eV/atom



no.,total magnetization (μB/f.u.)
1,0.00
2,0.75
3,0.00
4,2.93
5,0.00
6,1.45
7,3.37
8,0.00